1.
Computed, not measured: a geometry-optimized Y3AgO5 structure at the PBE-GGA level of DFT.

## Properties
Size of the total moment ... 0.000 μB/cell
V ... 431.2 Å³ per cell
Energy relative to the elements, uncorrected ... -2.63 eV per atom
Electronic total energy ... -7.851 eV/atom

Cell: 10.231 10.231 10.231 Å, 41.85 41.85 41.85°
Fractional coordinates of all 27 atoms:
O (0.515, 0.515, 0.515)
O (0.697, 0.697, 0.697)
O (0.118, 0.118, 0.118)
O (0.184, 0.184, 0.685)
O (0.647, 0.127, 0.647)
O (0.184, 0.685, 0.184)
O (0.614, 0.614, 0.614)
O (0.127, 0.647, 0.647)
O (0.900, 0.900, 0.900)
O (0.953, 0.395, 0.395)
O (0.685, 0.184, 0.184)
O (0.395, 0.953, 0.395)
O (0.395, 0.395, 0.953)
O (0.408, 0.408, 0.408)
O (0.647, 0.647, 0.127)
Y (0.986, 0.499, 0.499)
Y (0.292, 0.747, 0.292)
Y (0.499, 0.986, 0.499)
Y (0.499, 0.499, 0.986)
Y (0.747, 0.292, 0.292)
Y (0.707, 0.251, 0.707)
Y (0.707, 0.707, 0.251)
Y (0.292, 0.292, 0.747)
Y (0.251, 0.707, 0.707)
Ag (0.983, 0.983, 0.983)
Ag (0.773, 0.773, 0.773)
Ag (0.199, 0.199, 0.199)



2.
Computed, not measured: a geometry-optimized TaInSb structure at the PBE-GGA level of DFT.

## Properties
Polymorph energy (0 for the lowest one) ... 157 meV per atom
Size of the total moment ... 0.000 μB/cell
V ... 70.3 Å³ per cell
Energy relative to the elements, uncorrected ... 0.28 eV per atom
Electronic total energy ... -5.956 eV/atom

Cell: 7.773 7.773 7.773 Å, 157.23 157.23 32.42°
Fractional coordinates of all 3 atoms:
Ta (0.668, 0.668, 0.000)
In (0.022, 0.022, 0.000)
Sb (0.310, 0.310, 0.000)



3.
Computed, not measured: a geometry-optimized La4Cd2Br structure at the PBE-GGA level of DFT.

## Properties
Size of the total moment ... 0.000 μB/cell
V ... 229.7 Å³ per cell
Energy relative to the elements, uncorrected ... -0.50 eV per atom
Electronic total energy ... -3.820 eV/atom

Cell: 4.267 7.212 8.299 Å, 73.48 75.10 72.79°
Fractional coordinates of all 7 atoms:
Cd (0.613, 0.451, 0.323)
Cd (0.387, 0.549, 0.677)
La (0.679, 0.731, 0.912)
La (0.900, 0.812, 0.388)
La (0.100, 0.188, 0.612)
La (0.321, 0.269, 0.088)
Br (0.000, 0.000, 0.000)



4.
Computed, not measured: a geometry-optimized ErUH structure at the PBE-GGA level of DFT.

## Properties
Size of the total moment ... 0.946 μB/cell
V ... 102.5 Å³ per cell
Electronic total energy ... -6.505 eV/atom

Cell: 3.498 3.498 8.376 Å, 90.00 90.00 90.00°
Last column: magnetic moment on the atom in μB.
Fractional coordinates of all 6 atoms:
H (0.500, 0.000, 0.353)  0.00
H (0.000, 0.500, 0.647)  0.00
Er (0.500, 0.000, 0.645)  0.12
Er (0.000, 0.500, 0.355)  0.12
U (0.000, 0.500, 0.942)  0.33
U (0.500, 0.000, 0.058)  0.33



5.
Computed, not measured: a geometry-optimized Ho5Fe2Se2 structure at the PBE-GGA level of DFT.

## Properties
Size of the total moment ... 0.293 μB/cell
V ... 409.8 Å³ per cell
Energy relative to the elements, uncorrected ... -0.75 eV per atom
Electronic total energy ... -5.949 eV/atom

Cell: 7.397 7.355 8.391 Å, 90.00 63.85 90.00°
Last column: magnetic moment on the atom in μB.
Fractional coordinates of all 18 atoms:
Fe (0.393, 0.896, 0.000)  0.23
Fe (0.107, 0.396, 0.000)  0.23
Fe (0.607, 0.104, 0.000)  0.23
Fe (0.893, 0.604, 0.000)  0.23
Se (0.208, 0.000, 0.583)  0.00
Se (0.792, 0.000, 0.417)  0.00
Se (0.708, 0.500, 0.583)  0.00
Se (0.292, 0.500, 0.417)  0.00
Ho (0.500, 0.500, 0.000)  -0.07
Ho (0.046, 0.670, 0.252)  -0.04
Ho (0.701, 0.330, 0.252)  -0.04
Ho (0.954, 0.330, 0.748)  -0.04
Ho (0.201, 0.170, 0.252)  -0.04
Ho (0.454, 0.170, 0.748)  -0.04
Ho (0.546, 0.830, 0.252)  -0.04
Ho (0.000, 0.000, 0.000)  -0.07
Ho (0.799, 0.830, 0.748)  -0.04
Ho (0.299, 0.670, 0.748)  -0.04



6.
Computed, not measured: a geometry-optimized Ca3Cd3Rh2 structure at the PBE-GGA level of DFT.

## Properties
Size of the total moment ... 0.000 μB/cell
V ... 775.2 Å³ per cell
Electronic total energy ... -3.297 eV/atom

Cell: 5.830 7.941 16.744 Å, 90.00 90.00 90.00°
Fractional coordinates of all 32 atoms:
Cd (0.904, 0.828, 0.468)
Cd (0.857, 0.827, 0.750)
Cd (0.596, 0.328, 0.032)
Cd (0.596, 0.328, 0.468)
Cd (0.143, 0.173, 0.250)
Cd (0.404, 0.672, 0.968)
Cd (0.404, 0.672, 0.532)
Cd (0.643, 0.327, 0.750)
Cd (0.904, 0.828, 0.032)
Cd (0.096, 0.172, 0.532)
Cd (0.096, 0.172, 0.968)
Cd (0.357, 0.673, 0.250)
Rh (0.614, 0.625, 0.117)
Rh (0.386, 0.375, 0.883)
Rh (0.114, 0.875, 0.883)
Rh (0.614, 0.625, 0.383)
Rh (0.114, 0.875, 0.617)
Rh (0.386, 0.375, 0.617)
Rh (0.886, 0.125, 0.117)
Rh (0.886, 0.125, 0.383)
Ca (0.602, 0.033, 0.609)
Ca (0.602, 0.033, 0.891)
Ca (0.853, 0.835, 0.250)
Ca (0.147, 0.165, 0.750)
Ca (0.102, 0.467, 0.109)
Ca (0.398, 0.967, 0.109)
Ca (0.102, 0.467, 0.391)
Ca (0.647, 0.335, 0.250)
Ca (0.898, 0.533, 0.609)
Ca (0.898, 0.533, 0.891)
Ca (0.398, 0.967, 0.391)
Ca (0.353, 0.665, 0.750)



7.
Computed, not measured: a geometry-optimized Pu2GaIr3 structure at the PBE-GGA level of DFT.

## Properties
Polymorph energy (0 for the lowest one) ... 0 meV per atom
Size of the total moment ... 9.871 μB/cell
V ... 108.4 Å³ per cell
Electronic total energy ... -10.344 eV/atom

Cell: 5.572 5.572 5.158 Å, 90.00 122.70 120.00°
Last column: magnetic moment on the atom in μB.
Fractional coordinates of all 6 atoms:
Ir (0.500, 0.500, 0.500)  -0.22
Ir (0.500, 0.000, 0.500)  -0.22
Ir (0.000, 0.000, 0.500)  -0.22
Pu (0.245, 0.623, 0.868)  5.06
Pu (0.755, 0.377, 0.132)  5.06
Ga (0.000, 0.000, 0.000)  0.00



8.
Computed, not measured: a geometry-optimized Sr2MgSi2O7 structure at the PBE-GGA level of DFT.

## Properties
Size of the total moment ... 0.000 μB/cell
V ... 677.3 Å³ per cell
Energy relative to the elements, uncorrected ... -2.97 eV per atom
Electronic total energy ... -7.182 eV/atom

Cell: 8.067 9.633 9.551 Å, 114.13 90.00 90.00°
Fractional coordinates of all 48 atoms:
O (0.540, 0.302, 0.942)
O (0.420, 0.529, 0.291)
O (0.720, 0.308, 0.428)
O (0.040, 0.198, 0.558)
O (0.293, 0.943, 0.267)
O (0.200, 0.874, 0.937)
O (0.300, 0.374, 0.437)
O (0.960, 0.802, 0.442)
O (0.444, 0.157, 0.639)
O (0.556, 0.843, 0.361)
O (0.407, 0.019, 0.830)
O (0.080, 0.029, 0.791)
O (0.907, 0.481, 0.670)
O (0.220, 0.192, 0.072)
O (0.056, 0.657, 0.139)
O (0.780, 0.808, 0.928)
O (0.207, 0.443, 0.767)
O (0.800, 0.126, 0.063)
O (0.707, 0.057, 0.733)
O (0.944, 0.343, 0.861)
O (0.093, 0.519, 0.330)
O (0.280, 0.692, 0.572)
O (0.593, 0.981, 0.170)
O (0.793, 0.557, 0.233)
O (0.700, 0.626, 0.563)
O (0.460, 0.698, 0.058)
O (0.920, 0.971, 0.209)
O (0.580, 0.471, 0.709)
Si (0.471, 0.857, 0.212)
Si (0.720, 0.465, 0.582)
Si (0.280, 0.535, 0.418)
Si (0.220, 0.035, 0.918)
Si (0.529, 0.143, 0.788)
Si (0.780, 0.965, 0.082)
Si (0.029, 0.357, 0.712)
Si (0.971, 0.643, 0.288)
Sr (0.269, 0.458, 0.028)
Sr (0.973, 0.756, 0.696)
Sr (0.527, 0.256, 0.196)
Sr (0.769, 0.042, 0.472)
Sr (0.731, 0.542, 0.972)
Sr (0.027, 0.244, 0.304)
Sr (0.473, 0.744, 0.804)
Sr (0.231, 0.958, 0.528)
Mg (0.618, 0.655, 0.381)
Mg (0.382, 0.345, 0.619)
Mg (0.882, 0.155, 0.881)
Mg (0.118, 0.845, 0.119)